1.
TlWOF2: single point on PBEsol structure, SCAN.

POSCAR file:
```
TlWOF2
1.0
-1.895 3.163 -1.147
-3.588 -1.470 1.875
1.099 1.986 3.660
Tl O W F
1 1 1 2
Direct
0.500 0.500 0.500 Tl
0.500 0.000 0.000 O
0.000 0.000 0.000 W
0.000 0.000 0.500 F
0.000 0.500 0.000 F
```

Calculated values
- raw formation energy (eV/atom) = -1.4212
- spin magnetization (μB per formula unit) = 0.0

2.
YTlO2F: single point on PBEsol structure, SCAN.

POSCAR file:
```
YTlO2F
1.0
-1.946 -2.797 -2.646
3.850 -1.471 -1.277
-0.075 -2.956 3.180
Y Tl O F
1 1 2 1
Direct
0.500 0.500 0.500 Y
0.000 0.000 0.000 Tl
0.000 0.500 0.000 O
0.500 0.000 0.000 O
0.000 0.000 0.500 F
```

Calculated values
- raw formation energy (eV/atom) = -1.3802
- spin magnetization (μB per formula unit) = 0.0

3.
YTlOF2: single point on PBEsol structure, SCAN.

POSCAR file:
```
YTlOF2
1.0
-0.971 -1.121 -4.054
1.569 -4.219 0.791
-4.168 -1.296 1.357
Y Tl O F
1 1 1 2
Direct
0.500 0.500 0.500 Y
0.000 0.000 0.000 Tl
0.500 0.000 0.000 O
0.000 0.000 0.500 F
0.000 0.500 0.000 F
```

Calculated values
- raw formation energy (eV/atom) = -1.4555
- spin magnetization (μB per formula unit) = 0.9

4.
ZrTlOF2: single point on PBEsol structure, SCAN.

POSCAR file:
```
ZrTlOF2
1.0
-3.329 1.737 1.595
-0.406 -3.349 2.799
2.502 2.125 2.905
Tl O Zr F
1 1 1 2
Direct
0.500 0.500 0.500 Tl
0.500 0.000 0.000 O
0.000 0.000 0.000 Zr
0.000 0.000 0.500 F
0.000 0.500 0.000 F
```

Calculated values
- raw formation energy (eV/atom) = -2.6920
- spin magnetization (μB per formula unit) = 0.8

5.
ZrTlOF2: single point on PBEsol structure, SCAN.

POSCAR file:
```
ZrTlOF2
1.0
4.263 0.000 0.000
0.000 4.501 0.000
0.000 0.000 4.501
Tl O Zr F
1 1 1 2
Direct
0.000 0.000 0.000 Tl
0.500 0.000 0.000 O
0.500 0.500 0.500 Zr
0.000 0.000 0.500 F
0.000 0.500 0.000 F
```

Calculated values
- raw formation energy (eV/atom) = -0.8956
- spin magnetization (μB per formula unit) = 2.2

6.
TmOF: single point on PBEsol structure, SCAN.

POSCAR file:
```
TmOF
1.0
5.369 0.000 0.000
0.000 5.470 -0.003
0.000 -0.948 5.382
Tm O F
4 4 4
Direct
0.526 0.805 0.713 Tm
0.026 0.195 0.787 Tm
0.474 0.195 0.287 Tm
0.974 0.805 0.213 Tm
0.753 0.038 0.510 O
0.747 0.038 0.010 O
0.247 0.962 0.490 O
0.253 0.962 0.990 O
0.184 0.446 0.146 F
0.316 0.446 0.646 F
0.816 0.554 0.854 F
0.684 0.554 0.354 F
```

Calculated values
- raw formation energy (eV/atom) = -4.2906
- spin magnetization (μB per formula unit) = 0.0